No. 1
A geometry-optimized LaAg3Pd structure, computed with PBE-GGA.

Output
Space group: Pm-3m

Cell lengths 5.062, 5.062, 5.062 Å; angles 90.00, 90.00, 90.00 degrees
Element x y z (fractional)
La: 0.000 0.000 0.000
Ag: 0.000 0.500 0.500
Ag: 0.500 0.000 0.500
Ag: 0.500 0.500 0.000
Pd: 0.500 0.500 0.500

***

No. 2
A geometry-optimized La5Ag2Pd12 structure, computed with PBE-GGA.

Output
Space group: C2/m

Cell lengths 8.675, 8.675, 6.921 Å; angles 93.23, 93.23, 49.22 degrees
Element x y z (fractional)
La: 0.000 0.000 0.000
La: 0.243 0.243 0.927
La: 0.323 0.323 0.451
La: 0.677 0.677 0.549
La: 0.757 0.757 0.073
Ag: 0.254 0.746 0.500
Ag: 0.746 0.254 0.500
Pd: 0.040 0.662 0.746
Pd: 0.134 0.134 0.598
Pd: 0.199 0.599 0.136
Pd: 0.338 0.960 0.254
Pd: 0.401 0.801 0.864
Pd: 0.449 0.449 0.809
Pd: 0.551 0.551 0.191
Pd: 0.599 0.199 0.136
Pd: 0.662 0.040 0.746
Pd: 0.801 0.401 0.864
Pd: 0.866 0.866 0.402
Pd: 0.960 0.338 0.254

***

No. 3
A geometry-optimized La3Ag2Pd3 structure, computed with PBE-GGA.

Output
Space group: P6_3/mcm

Cell lengths 8.892, 8.892, 5.878 Å; angles 90.00, 90.00, 120.00 degrees
Element x y z (fractional)
La: 0.000 0.305 0.250
La: 0.000 0.695 0.750
La: 0.305 0.000 0.250
La: 0.305 0.305 0.750
La: 0.695 0.000 0.750
La: 0.695 0.695 0.250
Ag: 0.333 0.667 0.000
Ag: 0.333 0.667 0.500
Ag: 0.667 0.333 0.000
Ag: 0.667 0.333 0.500
Pd: 0.000 0.366 0.750
Pd: 0.000 0.634 0.250
Pd: 0.366 0.000 0.750
Pd: 0.366 0.366 0.250
Pd: 0.634 0.000 0.250
Pd: 0.634 0.634 0.750

***

No. 4
A geometry-optimized LaAg2Pd structure, computed with PBE-GGA.

Output
Space group: R-3m

Cell lengths 3.023, 3.023, 32.178 Å; angles 90.00, 90.00, 120.00 degrees
Element x y z (fractional)
La: 0.000 0.000 0.000
La: 0.333 0.667 0.667
La: 0.667 0.333 0.333
Ag: 0.000 0.000 0.097
Ag: 0.000 0.000 0.903
Ag: 0.333 0.667 0.570
Ag: 0.333 0.667 0.763
Ag: 0.667 0.333 0.237
Ag: 0.667 0.333 0.430
Pd: 0.000 0.000 0.500
Pd: 0.333 0.667 0.167
Pd: 0.667 0.333 0.833

***

No. 5
A geometry-optimized La2Ag3Pd2 structure, computed with PBE-GGA.

Output
Space group: C2/m

Cell lengths 10.175, 4.344, 7.203 Å; angles 90.00, 97.62, 90.00 degrees
Element x y z (fractional)
La: 0.118 0.000 0.330
La: 0.382 0.500 0.670
La: 0.618 0.500 0.330
La: 0.882 0.000 0.670
Ag: 0.000 0.500 0.000
Ag: 0.194 0.000 0.885
Ag: 0.306 0.500 0.115
Ag: 0.500 0.000 0.000
Ag: 0.694 0.500 0.885
Ag: 0.806 0.000 0.115
Pd: 0.097 0.500 0.651
Pd: 0.403 0.000 0.349
Pd: 0.597 0.000 0.651
Pd: 0.903 0.500 0.349

***

No. 6
A geometry-optimized LaAg3Pd structure, computed with PBE-GGA.

Output
Space group: Pm-3m

Cell lengths 5.580, 5.580, 5.580 Å; angles 90.00, 90.00, 90.00 degrees
Element x y z (fractional)
La: 0.000 0.000 0.000
Ag: 0.000 0.000 0.500
Ag: 0.000 0.500 0.000
Ag: 0.500 0.000 0.000
Pd: 0.500 0.500 0.500

***

No. 7
A geometry-optimized LaAgPd2 structure, computed with PBE-GGA.

Output
Space group: Pmmn

Cell lengths 4.780, 6.303, 5.513 Å; angles 90.00, 90.00, 90.00 degrees
Element x y z (fractional)
La: 0.250 0.250 0.169
La: 0.750 0.750 0.831
Ag: 0.250 0.750 0.248
Ag: 0.750 0.250 0.752
Pd: 0.250 0.019 0.664
Pd: 0.250 0.481 0.664
Pd: 0.750 0.519 0.336
Pd: 0.750 0.981 0.336

***

No. 8
A geometry-optimized La2AgPd2 structure, computed with PBE-GGA.

Output
Space group: I4/mmm

Cell lengths 3.982, 3.982, 16.118 Å; angles 90.00, 90.00, 90.00 degrees
Element x y z (fractional)
La: 0.000 0.000 0.113
La: 0.000 0.000 0.887
La: 0.500 0.500 0.387
La: 0.500 0.500 0.613
Ag: 0.000 0.000 0.500
Ag: 0.500 0.500 0.000
Pd: 0.000 0.500 0.250
Pd: 0.000 0.500 0.750
Pd: 0.500 0.000 0.250
Pd: 0.500 0.000 0.750

***

No. 9
A geometry-optimized LaAgPd structure, computed with PBE-GGA.

Output
Space group: P-62m

Cell lengths 7.614, 7.614, 4.158 Å; angles 90.00, 90.00, 120.00 degrees
Element x y z (fractional)
La: 0.000 0.599 0.000
La: 0.401 0.401 0.000
La: 0.599 0.000 0.000
Ag: 0.000 0.248 0.500
Ag: 0.248 0.000 0.500
Ag: 0.752 0.752 0.500
Pd: 0.000 0.000 0.000
Pd: 0.333 0.667 0.500
Pd: 0.667 0.333 0.500

***

No. 10
A geometry-optimized La8Ag2Pd structure, computed with PBE-GGA.

Output
Space group: C2/m

Cell lengths 9.926, 9.926, 7.080 Å; angles 108.72, 108.72, 31.51 degrees
Element x y z (fractional)
La: 0.019 0.019 0.291
La: 0.202 0.202 0.829
La: 0.334 0.334 0.491
La: 0.410 0.410 0.038
La: 0.590 0.590 0.962
La: 0.666 0.666 0.509
La: 0.798 0.798 0.171
La: 0.981 0.981 0.709
Ag: 0.170 0.170 0.232
Ag: 0.830 0.830 0.768
Pd: 0.500 0.500 0.500

***

No. 11
A geometry-optimized LaAgPd4 structure, computed with PBE-GGA.

Output
Space group: F-43m

Cell lengths 5.429, 5.429, 5.429 Å; angles 60.00, 60.00, 60.00 degrees
Element x y z (fractional)
La: 0.000 0.000 0.000
Ag: 0.750 0.750 0.750
Pd: 0.375 0.375 0.375
Pd: 0.375 0.375 0.874
Pd: 0.375 0.874 0.375
Pd: 0.874 0.375 0.375

***

No. 12
A geometry-optimized La2AgPd9 structure, computed with PBE-GGA.

Output
Space group: P4/mmm

Cell lengths 4.201, 4.201, 12.230 Å; angles 90.00, 90.00, 90.00 degrees
Element x y z (fractional)
La: 0.000 0.000 0.176
La: 0.000 0.000 0.824
Ag: 0.000 0.000 0.500
Pd: 0.000 0.500 0.000
Pd: 0.000 0.500 0.345
Pd: 0.000 0.500 0.655
Pd: 0.500 0.000 0.000
Pd: 0.500 0.000 0.345
Pd: 0.500 0.000 0.655
Pd: 0.500 0.500 0.171
Pd: 0.500 0.500 0.500
Pd: 0.500 0.500 0.829

***

Computed values of electronic total energy (unit: hartree per atom) for the preceding records, in sequence: -0.131; -0.203; -0.186; -0.137; -0.169; -0.091; -0.188; -0.187; -0.181; -0.176; -0.195; -0.201.
Computed values of formation energy from the elements (unit: eV per atom) for the preceding records, in sequence: 0.161; -0.647; -0.561; 0.240; -0.497; 1.250; -0.569; -0.472; -0.606; -0.213; -0.540; -0.514.